Model w:
Gd2LuPa, optimized geometry, DFT GGA-PBE; SG = P4/mmm (123)
1.0
-0.4326 3.5021 3.3639
-3.7999 1.8742 -2.4398
-3.0458 -2.8384 2.5633
Gd Pa Lu
2 1 1
Cartesian
-1.5229 -1.4192 1.2816 Gd
-1.8999 0.9371 -1.2199 Gd
-0.2163 1.7510 1.6819 Pa
-3.6392 1.2689 1.7437 Lu

Model x:
Gd2LuPa, optimized geometry, DFT GGA-PBE; SG = P4/mmm (123)
1.0
3.4059 0.0000 0.0000
0.0000 3.4059 0.0000
0.0000 0.0000 10.0849
Gd Pa Lu
2 1 1
Cartesian
0.0000 0.0000 7.7148 Gd
0.0000 0.0000 2.3701 Gd
1.7030 1.7030 0.0000 Pa
1.7030 1.7030 5.0424 Lu

Most stable of them? model x.

Model w:
Gd2LuPb, optimized geometry, DFT GGA-PBE; SG = P4/mmm (123)
1.0
-2.6894 -0.3963 -4.0687
-2.9581 -3.1183 2.2591
-2.7759 3.7012 1.4743
Pb Gd Lu
1 2 1
Cartesian
-1.3447 -0.1982 -2.0343 Pb
-1.3879 1.8506 0.7371 Gd
-1.4791 -1.5592 1.1295 Gd
-4.2117 0.0933 -0.1677 Lu

Model x:
Gd2LuPb, optimized geometry, DFT GGA-PBE; SG = Fm-3m (225)
1.0
5.4906 0.0000 0.0000
2.7453 4.7550 0.0000
2.7453 1.5850 4.4830
Pb Gd Lu
1 2 1
Cartesian
5.4906 3.1700 2.2415 Pb
2.7453 1.5850 1.1208 Gd
8.2358 4.7550 3.3623 Gd
0.0000 0.0000 0.0000 Lu

Most stable of them? model w.